First-principles (PBE) data for crystalline K2TaSi at its relaxed geometry, as listed in Alexandria.

The structure in extended XYZ format:
```
4
Lattice="3.0226 0.0000 0.0000 0.0000 5.9393 0.0000 0.0000 0.0000 5.5725" Properties=species:S:1:pos:R:3 pbc="T T T"
Si 1.5113 2.9696 1.3931
Ta 1.5113 2.9696 4.1794
K 0.0000 0.0000 2.7616
K 0.0000 0.0000 0.0246
```

Output
**Formation energy without anion corrections**: 1.043 eV/atom